Material: NaV2O4
Method: DFT, PBE with a Hubbard U
State: optimized geometry

Computed properties:
Energy above the most stable polymorph in this dataset in meV/atom: 35

a b c (Å): 6.0775 6.0769 6.1513
angles (deg): 61.12 63.14 93.09
Last column: magnetic moment on the atom in μB.
Atoms (fractional coordinates):
1 V 0.5000 0.5000 0.0000  1.10
2 V 0.0000 0.0000 0.5000  1.89
3 V 0.5000 0.0000 0.0000  1.89
4 V 0.5000 0.0000 0.5000  1.10
5 O 0.6943 0.2351 0.0514  -0.02
6 O 0.2741 0.2368 0.0346  -0.05
7 O 0.2865 0.2458 0.4485  -0.02
8 O 0.7135 0.7542 0.5515  -0.02
9 O 0.2713 0.8087 0.4655  -0.05
10 O 0.7287 0.1914 0.5345  -0.05
11 O 0.7259 0.7633 0.9654  -0.05
12 O 0.3057 0.7649 0.9486  -0.02
13 Na 0.8775 0.6275 0.2499  0.00
14 Na 0.1225 0.3725 0.7500  0.00